Record 1
## CaSmBiPd (PBE)

Data for a geometry-optimized CaSmBiPd structure.

Calculated values
spin magnetization = 0.00 μB/cell
Fermi-level density of states = 0.3849 states/eV per atom
DFT formation energy = -710 meV per atom

Unit cell a=5.306 b=5.306 c=5.306 alpha=60.00 beta=60.00 gamma=60.00
Fractional coordinates of all 4 atoms:
Ca: 0.000 0.000 0.000
Sm: 0.500 0.500 0.500
Bi: 0.250 0.250 0.250
Pd: 0.750 0.750 0.750

=====

Record 2
## Ca2Sn3BiPd4 (PBE)

Data for a geometry-optimized Ca2Sn3BiPd4 structure.

Calculated values
spin magnetization = 0.00 μB/cell
Fermi-level density of states = 0.4793 states/eV per atom
DFT formation energy = -626 meV per atom

Unit cell a=4.623 b=4.623 c=11.041 alpha=90.00 beta=90.00 gamma=90.00
Fractional coordinates of all 10 atoms:
Ca: 0.000 0.500 0.235
Ca: 0.500 0.000 0.765
Sn: 0.000 0.500 0.879
Sn: 0.500 0.000 0.121
Sn: 0.500 0.500 0.500
Bi: 0.000 0.000 0.500
Pd: 0.000 0.000 0.000
Pd: 0.000 0.500 0.643
Pd: 0.500 0.000 0.357
Pd: 0.500 0.500 0.000

=====

Record 3
## Sr2CaBiPd (PBE)

Data for a geometry-optimized Sr2CaBiPd structure.

Calculated values
spin magnetization = 0.00 μB/cell
Fermi-level density of states = 0.6086 states/eV per atom
DFT formation energy = -529 meV per atom

Unit cell a=5.787 b=5.787 c=5.522 alpha=90.00 beta=90.00 gamma=90.00
Fractional coordinates of all 5 atoms:
Sr: 0.000 0.500 0.000
Sr: 0.500 0.000 0.000
Ca: 0.000 0.000 0.500
Bi: 0.500 0.500 0.500
Pd: 0.000 0.000 0.000